Na3Os | PBE-GGA | relaxed

Energy above the lowest structure with this stoichiometry: 0.180 eV/f.u.
Magnetic moment: 0.49 μB per atom
Crystal system: tetragonal
SG: P4_2/mnm, No. 136

Cell: 9.335 9.335 4.875 Å, 90.00 90.00 90.00°
Element x y z (fractional)
Na (0.305, 0.035, 0.500)
Na (0.122, 0.878, 0.000)
Na (0.535, 0.195, 0.000)
Na (0.195, 0.535, 0.000)
Na (0.035, 0.305, 0.500)
Na (0.622, 0.622, 0.500)
Na (0.805, 0.465, 0.000)
Na (0.878, 0.122, 0.000)
Na (0.465, 0.805, 0.000)
Na (0.695, 0.965, 0.500)
Na (0.378, 0.378, 0.500)
Na (0.965, 0.695, 0.500)
Os (0.207, 0.207, 0.000)
Os (0.293, 0.707, 0.500)
Os (0.793, 0.793, 0.000)
Os (0.707, 0.293, 0.500)